(1)
Below is an optimized crystal structure of TlRe2Pb, with properties calculated at the PBE level.

Structure (POSCAR):
```
TlRe2Pb
1.0
4.3213 0.0172 -0.0167
3.1469 2.9616 -0.0167
1.2187 0.4861 7.5512
Pb Re Tl
1 2 1
Direct
0.7448 0.7448 0.8085
0.9869 0.9869 0.0670
0.2603 0.2603 0.1778
0.5080 0.5080 0.4467
```

Properties
For the formation energy, the calculation gives 2.97 eV per formula unit. For the calculated density, the calculation gives 13.519 Mg/m³. As for the energy relative to the lowest polymorph listed for this composition: 297 meV/atom. The space group is Cm, No. 8. The value obtained for the density of states at the Fermi level is 0.789 states/eV per atom.

***

(2)
Below is an optimized crystal structure of Re2SbAu, with properties calculated at the PBE level.

Structure (POSCAR):
```
Re2SbAu
1.0
4.2609 0.0000 0.0000
0.0000 2.9930 0.0073
0.0000 1.4998 5.5573
Au Re Sb
1 2 1
Direct
0.5000 0.7500 0.7500
0.0000 0.1388 0.9752
0.0000 0.3612 0.5248
0.5000 0.2500 0.2500
```

Properties
For the calculated density, the calculation gives 16.204 Mg/m³. The space group is P2/m, No. 10. The value obtained for the calculated total energy is -7.3305 eV per atom. The value obtained for the density of states at the Fermi level is 0.652 states/eV per atom.

***

(3)
Below is an optimized crystal structure of BeAgPt2, with properties calculated at the PBE level.

Structure (POSCAR):
```
BeAgPt2
1.0
-1.7802 -0.8036 -2.0338
1.8706 -1.9188 -0.8778
-2.8714 -4.8206 4.4180
Be Ag Pt
1 1 2
Direct
0.5000 0.5000 0.7756
0.0000 0.0000 0.5346
0.0000 0.0000 0.9482
0.5000 0.5000 0.2417
```

Properties
For the formation energy, the calculation gives -0.96 eV per formula unit. For the calculated density, the calculation gives 14.827 Mg/m³. The space group is P4mm, No. 99. The value obtained for the density of states at the Fermi level is 0.365 states/eV per atom.

***

(4)
Below is an optimized crystal structure of CaCe3C, with properties calculated at the PBE level.

Structure (POSCAR):
```
CaCe3C
1.0
5.1009 0.0000 0.0000
0.0000 5.1009 0.0000
0.0000 0.0000 5.1009
Ca C Ce
1 1 3
Direct
0.5000 0.5000 0.5000
0.0000 0.0000 0.0000
0.0000 0.5000 0.0000
0.0000 0.0000 0.5000
0.5000 0.0000 0.0000
```

Properties
For the formation energy, the calculation gives 0.45 eV per formula unit. For the calculated density, the calculation gives 5.911 Mg/m³. The space group is Pm-3m, No. 221. The value obtained for the density of states at the Fermi level is 2.260 states/eV per atom.

***

(5)
Below is an optimized crystal structure of TaFeNiPt, with properties calculated at the PBE level.

Structure (POSCAR):
```
TaFeNiPt
1.0
4.2794 0.0000 0.0000
2.1397 3.7061 0.0000
2.1397 1.2354 3.4941
Ni Fe Pt Ta
1 1 1 1
Direct
0.5000 0.5000 0.5000
0.0000 0.0000 0.0000
0.7500 0.7500 0.7500
0.2500 0.2500 0.2500
```

Properties
For the formation energy, the calculation gives -1.00 eV per formula unit. For the calculated density, the calculation gives 14.700 Mg/m³. As for the energy relative to the lowest polymorph listed for this composition: 148 meV/atom. The space group is F-43m, No. 216. The value obtained for the density of states at the Fermi level is 1.130 states/eV per atom.

***

(6)
Below is an optimized crystal structure of InCo2Cl, with properties calculated at the PBE level.

Structure (POSCAR):
```
InCo2Cl
1.0
-2.5320 -0.6635 -1.7332
2.9347 -0.5827 -0.9504
-0.3690 -7.2882 3.3290
Cl Co In
1 2 1
Direct
0.5000 0.5000 0.7500
0.0000 0.0000 0.9794
0.0000 0.0000 0.5206
0.5000 0.5000 0.2500
```

Properties
For the calculated density, the calculation gives 6.732 Mg/m³. As for the energy relative to the lowest polymorph listed for this composition: 288 meV/atom. The space group is Cmmm, No. 65. The value obtained for the density of states at the Fermi level is 1.620 states/eV per atom.

***

(7)
Below is an optimized crystal structure of ZnGa2P, with properties calculated at the PBE level.

Structure (POSCAR):
```
ZnGa2P
1.0
-1.1344 -3.0340 -3.3597
-3.4430 1.0046 -2.9860
0.9862 0.9762 -4.4558
P Zn Ga
1 1 2
Direct
0.0000 0.0000 0.0000
0.5000 0.5000 0.5000
0.2500 0.2500 0.2500
0.7500 0.7500 0.7500
```

Properties
For the formation energy, the calculation gives 0.90 eV per formula unit. For the calculated density, the calculation gives 5.449 Mg/m³. As for the energy relative to the lowest polymorph listed for this composition: 155 meV/atom. The space group is Fm-3m, No. 225. The value obtained for the density of states at the Fermi level is 0.452 states/eV per atom.

***

(8)
Below is an optimized crystal structure of RbGa2SBr, with properties calculated at the PBE level.

Structure (POSCAR):
```
RbGa2SBr
1.0
5.5533 0.0000 0.0000
0.0000 5.7342 0.0000
0.0000 0.0000 5.5533
S Ga Br Rb
1 2 1 1
Direct
0.0000 0.5000 0.0000
0.0000 0.0000 0.5000
0.5000 0.0000 0.0000
0.0000 0.0000 0.0000
0.5000 0.5000 0.5000
```

Properties
For the calculated density, the calculation gives 3.163 Mg/m³. The space group is P4/mmm, No. 123. The value obtained for the calculated total energy is -2.4876 eV per atom. The value obtained for the density of states at the Fermi level is 0.260 states/eV per atom.

***

| no. | total moment (μB per atom) |
| --- | --- |
| 1 | 0.000 |
| 2 | 0.000 |
| 3 | 0.000 |
| 4 | 0.302 |
| 5 | 0.442 |
| 6 | 0.794 |
| 7 | 0.000 |
| 8 | 0.000 |